Crystalline LaTaIn at its relaxed geometry. Source: Alexandria, functional PBE.

ΔE_f	0.341	eV per atom
ΔE to the lowest computed polymorph	0.149	eV/atom
total moment	0.00	μB/f.u.

Cell: 5.2198 5.2198 3.1846 Å, 90.00 90.00 120.00°
Sites, in units of the cell vectors:
In 0.0000 0.0000 0.8320
La 0.6667 0.3333 0.3334
Ta 0.3333 0.6667 0.8346

Crystalline LaTa2In at its relaxed geometry. Source: Alexandria, functional PBE.

ΔE_f	0.549	eV per atom
total moment	0.00	μB/f.u.

Cell: 11.0107 11.0107 11.0107 Å, 16.12 16.12 16.12°
Sites, in units of the cell vectors:
In 0.2500 0.2500 0.2500
La 0.7500 0.7500 0.7500
Ta 0.9929 0.9929 0.9929
Ta 0.5071 0.5071 0.5071

Crystalline LaTa2In at its relaxed geometry. Source: Alexandria, functional PBE.

ΔE_f	0.498	eV per atom
total moment	0.00	μB/f.u.

Cell: 5.6411 5.6411 5.6411 Å, 134.10 134.10 66.93°
Sites, in units of the cell vectors:
In 0.2500 0.7500 0.5000
La 0.7500 0.2500 0.5000
Ta 0.0000 0.0000 0.0000
Ta 0.5000 0.5000 0.0000

Crystalline La4TaIn at its relaxed geometry. Source: Alexandria, functional PBE.

ΔE_f	0.625	eV per atom
total moment	1.21	μB/f.u.

Cell: 6.3878 6.3878 6.3878 Å, 60.00 60.00 60.00°
Site moments in Bohr magnetons follow the coordinates.
Sites, in units of the cell vectors:
La 0.8712 0.3763 0.3763  -0.06
La 0.3763 0.3763 0.8712  -0.06
La 0.3763 0.8712 0.3763  -0.06
La 0.3763 0.3763 0.3763  -0.06
Ta 0.7500 0.7500 0.7500  0.97
In 0.0000 0.0000 0.0000  -0.01

Crystalline LaTa2In at its relaxed geometry. Source: Alexandria, functional PBE.

ΔE_f	0.351	eV per atom
total moment	0.22	μB/f.u.

Cell: 10.2539 10.2539 10.2539 Å, 18.50 18.50 18.50°
Site moments in Bohr magnetons follow the coordinates.
Sites, in units of the cell vectors:
In 0.4903 0.4903 0.4903  0.00
La 0.2542 0.2542 0.2542  0.00
Ta 0.0121 0.0121 0.0121  0.09
Ta 0.7435 0.7435 0.7435  0.08

Crystalline LaTa2In at its relaxed geometry. Source: Alexandria, functional PBE.

ΔE_f	0.709	eV per atom
total moment	0.00	μB/f.u.

Cell: 4.3291 4.3291 10.8043 Å, 78.44 78.44 90.00°
Sites, in units of the cell vectors:
La 0.0000 0.0000 0.0000
La 0.7500 0.2500 0.5000
In 0.5000 0.5000 0.0000
In 0.2500 0.7500 0.5000
Ta 0.6080 0.1250 0.2500
Ta 0.1420 0.6250 0.2500
Ta 0.3750 0.3920 0.7500
Ta 0.8750 0.8580 0.7500

Crystalline LaTa2In at its relaxed geometry. Source: Alexandria, functional PBE.

ΔE_f	0.469	eV per atom
total moment	0.00	μB/f.u.

Cell: 6.2008 6.2008 6.2008 Å, 151.18 126.79 61.64°
Sites, in units of the cell vectors:
In 0.7500 0.2500 0.5000
La 0.2500 0.7500 0.5000
Ta 0.9895 0.9895 0.0000
Ta 0.5105 0.5105 0.0000

Crystalline LaTa2In at its relaxed geometry. Source: Alexandria, functional PBE.

ΔE_f	0.566	eV per atom
total moment	0.00	μB/f.u.

Cell: 5.7563 5.7563 2.9444 Å, 90.00 90.00 113.28°
Sites, in units of the cell vectors:
In 0.5000 0.0000 0.5000
La 0.0000 0.5000 0.5000
Ta 0.0000 0.0000 0.0000
Ta 0.5000 0.5000 0.0000

Repeat the sixth record exactly.
Crystalline LaTa2In at its relaxed geometry. Source: Alexandria, functional PBE.

ΔE_f	0.709	eV per atom
total moment	0.00	μB/f.u.

Cell: 4.3291 4.3291 10.8043 Å, 78.44 78.44 90.00°
Sites, in units of the cell vectors:
La 0.0000 0.0000 0.0000
La 0.7500 0.2500 0.5000
In 0.5000 0.5000 0.0000
In 0.2500 0.7500 0.5000
Ta 0.6080 0.1250 0.2500
Ta 0.1420 0.6250 0.2500
Ta 0.3750 0.3920 0.7500
Ta 0.8750 0.8580 0.7500